[1]
Co2AuSe: optimized geometry, PBE-GGA.

Unit cell a=6.667 b=6.667 c=5.429 alpha=52.12 beta=52.12 gamma=90.00
Element x y z (fractional)
Au 0.750 0.250 0.500
Se 0.250 0.750 0.500
Co 0.375 0.420 0.750
Co 0.170 0.625 0.250
Co 0.875 0.830 0.750
Au 0.000 0.000 0.000
Se 0.500 0.500 0.000
Co 0.580 0.125 0.250

Output
space group: No. 122
formation energy from raw total energies: 0.374 eV/atom
offset from the most stable computed form: 176 meV/atom

[2]
TlS2IN: optimized geometry, PBE-GGA.

Unit cell a=5.324 b=5.324 c=4.035 alpha=90.00 beta=90.00 gamma=90.00
Element x y z (fractional)
N 0.000 0.000 0.500
S 0.500 0.000 0.000
Tl 0.500 0.500 0.500
I 0.000 0.000 0.000
S 0.000 0.500 0.000

Output
space group: No. 123
formation energy from raw total energies: 1.036 eV/atom
offset from the most stable computed form: 0 meV/atom

[3]
AlAsCl2: optimized geometry, PBE-GGA.

Unit cell a=3.762 b=3.762 c=8.926 alpha=90.00 beta=90.00 gamma=125.73
Element x y z (fractional)
Cl 0.500 0.500 0.323
Cl 0.000 0.000 0.939
Al 0.000 0.000 0.511
As 0.500 0.500 0.727

Output
space group: No. 35
formation energy from raw total energies: -0.198 eV/atom
offset from the most stable computed form: 422 meV/atom

[4]
BeCdSn2As4: optimized geometry, PBE-GGA.

Unit cell a=5.967 b=5.967 c=7.167 alpha=114.60 beta=114.60 gamma=90.01
Element x y z (fractional)
As 0.166 0.166 0.779
Sn 0.250 0.750 0.500
As 0.834 0.387 0.221
As 0.613 0.613 0.779
Be 0.500 0.500 0.000
Cd 0.000 0.000 0.000
Sn 0.750 0.250 0.500
As 0.387 0.834 0.221

Output
calculated formation energy: -0.148 eV/atom
space group: No. 121

[5]
K2OsSe: optimized geometry, PBE-GGA.

Unit cell a=4.227 b=4.227 c=5.177 alpha=90.00 beta=90.00 gamma=90.00
Element x y z (fractional)
K 0.000 0.000 0.000
Os 0.500 0.000 0.500
Se 0.000 0.500 0.500
K 0.500 0.500 0.000

Output
space group: No. 123
formation energy from raw total energies: 0.807 eV/atom

The calculated density results, record by record, are as follows: 10927; 5945; 2798; 5301; 6236 kg/m3.
The D(E_F) results, record by record, are as follows: 4.41; 5.62; 2.83; 0.34; 3.43 states/eV/cell.
The calculated total energy results, record by record, are as follows: -4.87; -3.06; -3.22; -4.05; -3.42 eV/atom.